Entry 1:
Entry from the Alexandria database: a relaxed structure of CoRh5 (PBE).

Results
The size of the total moment is 2.63 μB per cell. As for the formation energy from the elements: 4.1 kJ/mol of atoms. As for the calculated density: 11.53 g cm⁻³.

```
6
Lattice="4.6512 0.0000 0.0000 0.0000 2.7019 0.0000 -0.0429 0.0000 6.5714" Properties=species:S:1:pos:R:3 pbc="T T T"
Co 0.0000 0.0000 0.0000
Rh 0.7469 1.3510 2.1405
Rh 1.5113 0.0000 4.3982
Rh 2.3256 1.3510 0.0000
Rh 3.0970 0.0000 2.1732
Rh 3.8614 1.3510 4.4310
```

=====

Entry 2:
Entry from the Alexandria database: a relaxed structure of NdTh2Co (PBE).

Results
The size of the total moment is 0.01 μB per cell. As for the formation energy from the elements: 8.4 kJ/mol of atoms. As for the calculated density: 8.93 g cm⁻³. The energy above the most stable polymorph in this dataset is 250.1 meV/atom.

```
4
Lattice="1.8821 1.0866 10.1098 -1.8821 1.0866 10.1098 0.0000 -2.1733 10.1098" Properties=species:S:1:pos:R:3 pbc="T T T"
Nd 0.0000 0.0000 0.0000
Th 0.0000 0.0000 3.4591
Th 0.0000 0.0000 26.8702
Co 0.0000 0.0000 15.1647
```